Entry from Alexandria: a relaxed structure of La8CePm4 (GGA-PBE).

Output
DFT formation energy in eV/atom: 0.3661
Energy in eV per atom: -4.584

a b c (Å): 11.9984 11.9984 11.6928
angles (deg): 90.00 90.00 120.00
Space group R-3m (No. 166, hexagonal axes)
Unique sites:
La1 0.0000 0.0000 0.2504 (multiplicity 6)
La2 0.0028 0.5014 0.1692 (multiplicity 18)
Ce1 0.0000 0.0000 0.0000 (multiplicity 3)
Pm1 0.0000 0.0000 0.5000 (multiplicity 3)
Pm2 0.0000 0.5000 0.5000 (multiplicity 9)